A relaxed Ag5SnHg2 crystal, computed with PBE.

Properties
SG ... No. 71
Total magnetic moment ... 0.00 μB per formula unit
Energy of formation ... 0.07 eV/atom
Crystal system ... orthorhombic
Theoretical density ... 10741 kg/m3
D(E_F) ... 2.11 states/eV per cell

Unit cell a=3.045 b=9.344 c=7.567 alpha=128.13 beta=101.61 gamma=90.00
Atoms (fractional coordinates):
1 Ag 0.000 0.500 0.000
2 Ag 0.626 0.394 0.252
3 Ag 0.374 0.606 0.748
4 Ag 0.626 0.858 0.252
5 Ag 0.374 0.142 0.748
6 Sn 0.000 0.000 0.000
7 Hg 0.248 0.748 0.495
8 Hg 0.752 0.252 0.505

***

A relaxed Y3HgO crystal, computed with PBE.

Properties
SG ... No. 12
Total magnetic moment ... 0.43 μB per formula unit
Crystal system ... monoclinic
Theoretical density ... 6006 kg/m3
E_form (uncorrected) ... -1.197 eV/atom
D(E_F) ... 7.92 states/eV per cell
Relative energy among the computed polymorphs ... 205 meV/atom

Unit cell a=23.884 b=10.085 c=10.085 alpha=158.40 beta=159.62 gamma=20.38
Site moments in Bohr magnetons follow the coordinates.
Atoms (fractional coordinates):
1 Y 0.257 0.785 0.215  0.11
2 Y 0.743 0.215 0.785  0.11
3 Y 0.182 0.225 0.775  0.10
4 Y 0.818 0.775 0.225  0.10
5 Y 0.398 0.803 0.197  0.00
6 Y 0.602 0.197 0.803  0.00
7 Hg 0.033 0.770 0.230  -0.01
8 Hg 0.967 0.230 0.770  -0.01
9 O 0.553 0.140 0.860  0.00
10 O 0.447 0.860 0.140  0.00

***

A relaxed Pm6Dy4Mg crystal, computed with PBE.

Properties
SG ... No. 121
Total magnetic moment ... 0.00 μB per formula unit
Energy of formation ... 0.27 eV/atom
Crystal system ... tetragonal
Theoretical density ... 6974 kg/m3
D(E_F) ... 13.61 states/eV per cell

Unit cell a=9.746 b=9.746 c=9.746 alpha=56.72 beta=140.75 gamma=140.75
Atoms (fractional coordinates):
1 Pm 0.000 0.805 0.459
2 Pm 0.000 0.459 0.805
3 Pm 0.346 0.541 0.541
4 Pm 0.500 0.500 0.000
5 Pm 0.654 0.195 0.195
6 Pm 0.500 0.000 0.500
7 Dy 0.000 0.645 0.010
8 Dy 0.365 0.355 0.355
9 Dy 0.000 0.010 0.645
10 Dy 0.635 0.990 0.990
11 Mg 0.000 0.000 0.000

***

A relaxed NdSc3Al8 crystal, computed with PBE.

Properties
SG ... No. 156
Total magnetic moment ... 0.00 μB per formula unit
Energy of formation ... -0.47 eV/atom
Crystal system ... trigonal
Theoretical density ... 3590 kg/m3
D(E_F) ... 6.96 states/eV per cell
Relative energy among the computed polymorphs ... 6 meV/atom

Unit cell a=5.439 b=5.439 c=8.937 alpha=90.00 beta=90.00 gamma=120.00
Atoms (fractional coordinates):
1 Nd 0.000 0.000 0.567
2 Sc 0.667 0.333 0.425
3 Sc 0.667 0.333 0.066
4 Sc 0.000 0.000 0.934
5 Al 0.333 0.667 0.498
6 Al 0.333 0.667 0.003
7 Al 0.505 0.009 0.758
8 Al 0.505 0.495 0.758
9 Al 0.991 0.495 0.758
10 Al 0.162 0.324 0.244
11 Al 0.162 0.838 0.244
12 Al 0.676 0.838 0.244

***

A relaxed TmPuTc crystal, computed with PBE.

Properties
SG ... No. 65
Total magnetic moment ... 4.90 μB per formula unit
Energy of formation ... 0.20 eV/atom
Crystal system ... orthorhombic
Theoretical density ... 10650 kg/m3
D(E_F) ... 13.67 states/eV per cell
Relative energy among the computed polymorphs ... 213 meV/atom

Unit cell a=3.579 b=6.702 c=6.702 alpha=82.32 beta=90.00 gamma=90.00
Site moments in Bohr magnetons follow the coordinates.
Atoms (fractional coordinates):
1 Tc 0.000 0.000 0.000  -0.58
2 Tc 0.500 0.500 0.500  -0.34
3 Tm 0.000 0.720 0.720  0.17
4 Tm 0.000 0.280 0.280  0.17
5 Pu 0.500 0.217 0.783  4.88
6 Pu 0.500 0.783 0.217  4.88

***

A relaxed TlReSe2 crystal, computed with PBE.

Properties
SG ... No. 122
Total magnetic moment ... 0.00 μB per formula unit
Crystal system ... tetragonal
Theoretical density ... 8246 kg/m3
E_form (uncorrected) ... 0.127 eV/atom
D(E_F) ... 6.78 states/eV per cell
Relative energy among the computed polymorphs ... 124 meV/atom

Unit cell a=7.546 b=7.546 c=6.597 alpha=55.12 beta=55.12 gamma=90.00
Atoms (fractional coordinates):
1 Re 0.500 0.500 0.000
2 Re 0.250 0.750 0.500
3 Tl 0.000 0.000 0.000
4 Tl 0.750 0.250 0.500
5 Se 0.522 0.125 0.250
6 Se 0.228 0.625 0.250
7 Se 0.375 0.478 0.750
8 Se 0.875 0.772 0.750

***

A relaxed Zn2ReCl crystal, computed with PBE.

Properties
SG ... No. 35
Total magnetic moment ... 0.26 μB per formula unit
Crystal system ... orthorhombic
Theoretical density ... 8023 kg/m3
E_form (uncorrected) ... 0.356 eV/atom
D(E_F) ... 2.72 states/eV per cell
Relative energy among the computed polymorphs ... 196 meV/atom

Unit cell a=2.914 b=2.914 c=10.226 alpha=90.00 beta=90.00 gamma=122.86
Site moments in Bohr magnetons follow the coordinates.
Atoms (fractional coordinates):
1 Cl 0.000 0.000 0.565  0.01
2 Re 0.500 0.500 0.755  0.22
3 Zn 0.000 0.000 0.977  0.00
4 Zn 0.500 0.500 0.203  0.00